Record 1
Material: NbAlAu3
Method: DFT, GGA-PBE
State: relaxed

The space group is Pm-3m (No. 221) and the conventional cell measures 4.680, 4.680 and 4.680 Å, with angles of 90.00, 90.00 and 90.00 degrees. The distinct sites, in fractional coordinates, are Nb at (0.000, 0.000, 0.000), Al at (0.500, 0.500, 0.500) and Au at (0.000, 0.500, 0.500).

Its magnetic moment is 0.000 μB per atom. The value obtained for the electronic total energy is -4.12 eV per atom. The offset from the most stable computed form is 0.000 eV per atom. Its formation energy from the elements is 3.055 eV/f.u.

=====

Record 2
Material: La2DyY4Sc
Method: DFT, GGA-PBE
State: relaxed

The space group is Pmmm (No. 47) and the conventional cell measures 5.066, 5.081 and 10.092 Å, with angles of 90.00, 90.00 and 90.00 degrees. The distinct sites, in fractional coordinates, are La at (0.000, 0.000, 0.000), La at (0.500, 0.500, 0.500), Dy at (0.000, 0.000, 0.500), Y at (0.000, 0.500, 0.245), Y at (0.500, 0.000, 0.246) and Sc at (0.500, 0.500, 0.000).

Its magnetic moment is 0.000 μB per atom. The value obtained for the electronic total energy is -5.78 eV per atom. Its formation energy from the elements is 0.426 eV/f.u.

=====

Record 3
Material: BaCd8GaHg2
Method: DFT, GGA-PBE
State: relaxed

The space group is C2/m (No. 12) and the conventional cell measures 8.841, 5.693 and 12.761 Å, with angles of 90.00, 100.45 and 90.00 degrees. The distinct sites, in fractional coordinates, are Ba at (0.000, 0.000, 0.000), Cd at (0.052, 0.248, 0.312), Cd at (0.169, 0.500, 0.548), Cd at (0.248, 0.000, 0.818), Ga at (0.000, 0.000, 0.500) and Hg at (0.136, 0.500, 0.879).

Its magnetic moment is 0.000 μB per atom. The value obtained for the electronic total energy is -1.15 eV per atom. Its formation energy from the elements is -0.980 eV/f.u.

=====

Record 4
Material: InCu2GeO6
Method: DFT, GGA-PBE
State: relaxed

The space group is C2/c (No. 15) and the conventional cell measures 8.830, 11.109 and 5.914 Å, with angles of 90.00, 114.84 and 90.00 degrees. The distinct sites, in fractional coordinates, are In at (0.000, 0.107, 0.250), Cu at (0.129, 0.431, 0.166), Ge at (0.000, 0.174, 0.750), O at (0.095, 0.232, 0.056), O at (0.110, 0.428, 0.475) and O at (0.130, 0.062, 0.682).

Its magnetic moment is 0.103 μB per atom. The value obtained for the electronic total energy is -5.45 eV per atom. Its formation energy (no corrections) is -0.925 eV per atom.

=====

Record 5
Material: Sr2Cd2Ag3
Method: DFT, GGA-PBE
State: relaxed

The space group is C2/m (No. 12) and the conventional cell measures 11.390, 4.760 and 7.456 Å, with angles of 90.00, 112.94 and 90.00 degrees. The distinct sites, in fractional coordinates, are Sr at (0.148, 0.000, 0.258), Cd at (0.142, 0.000, 0.732), Ag at (0.000, 0.500, 0.500) and Ag at (0.100, 0.500, 0.923).

Its magnetic moment is 0.000 μB per atom. The value obtained for the electronic total energy is -2.21 eV per atom. Its formation energy from the elements is -1.738 eV/f.u.

=====

Record 6
Material: Zn2CuSb2
Method: DFT, GGA-PBE
State: relaxed

The space group is P4/mbm (No. 127) and the conventional cell measures 7.035, 7.035 and 4.042 Å, with angles of 90.00, 90.00 and 90.00 degrees. The distinct sites, in fractional coordinates, are Zn at (0.129, 0.371, 0.000), Cu at (0.000, 0.000, 0.000) and Sb at (0.184, 0.684, 0.500).

Its magnetic moment is 0.000 μB per atom. The value obtained for the electronic total energy is -2.73 eV per atom. The offset from the most stable computed form is 0.016 eV per atom. Its formation energy (no corrections) is 0.248 eV per atom.

=====

Record 7
Material: SmY6Er12
Method: DFT, GGA-PBE
State: relaxed

The space group is R-3 (No. 148, hexagonal axes) and the conventional cell measures 11.8652, 11.8652 and 15.0645 Å, with angles of 90.00, 90.00 and 120.00 degrees. The distinct sites, in fractional coordinates, are Sm at (0.0000, 0.0000, 0.0000), Y at (0.0071, 0.4203, 0.6766), Er at (0.0246, 0.8407, 0.1924) and Er at (0.0385, 0.8519, 0.4160).

Its magnetic moment is 0.000 μB per atom. The value obtained for the electronic total energy is -5.01 eV per atom. The offset from the most stable computed form is 0.000 eV per atom. Its formation energy from the elements is 3.119 eV/f.u.

=====

Record 8
Material: Co3CuSn
Method: DFT, GGA-PBE
State: relaxed

The space group is Pm-3m (No. 221) and the conventional cell measures 4.327, 4.327 and 4.327 Å, with angles of 90.00, 90.00 and 90.00 degrees. The distinct sites, in fractional coordinates, are Co at (0.000, 0.000, 0.500), Cu at (0.000, 0.000, 0.000) and Sn at (0.500, 0.500, 0.500).

Its magnetic moment is 0.945 μB per atom. The value obtained for the electronic total energy is -4.90 eV per atom. The offset from the most stable computed form is 0.000 eV per atom. Its formation energy from the elements is 4.932 eV/f.u.

=====

The highest electronic total energy belongs to which entry?
BaCd8GaHg2